(1)
Density functional theory data (GGA-PBE) for ScNbIn2 after structural relaxation. Values from VASP.

As for the energy relative to the elements: -0.0906 eV per atom. The space group is P4/mmm (123). As for the total energy: -5.56 eV per atom. The density of states at the Fermi level is 2.53 states/eV/cell.

The structure in Quantum ESPRESSO input format:
```
&SYSTEM
  ibrav = 0, nat = 4, ntyp = 3
/
ATOMIC_SPECIES
Sc 44.96 Sc.upf
In 114.82 In.upf
Nb 92.91 Nb.upf
CELL_PARAMETERS angstrom
3.7040 0.0000 0.0000
0.0000 3.7040 0.0000
0.0000 0.0000 6.1439
ATOMIC_POSITIONS angstrom
Sc 1.8520 1.8520 0.0000
In 0.0000 0.0000 4.5459
In 0.0000 0.0000 1.5979
Nb 1.8520 1.8520 3.0719
```


(2)
Density functional theory data (GGA-PBE) for Sc3NbIn after structural relaxation. Values from VASP.

As for the energy relative to the elements: 0.9969 eV per atom. The space group is Pm-3m (221). As for the total energy: -5.36 eV per atom. The density of states at the Fermi level is 7.12 states/eV/cell.

The structure in Quantum ESPRESSO input format:
```
&SYSTEM
  ibrav = 0, nat = 5, ntyp = 3
/
ATOMIC_SPECIES
Sc 44.96 Sc.upf
Nb 92.91 Nb.upf
In 114.82 In.upf
CELL_PARAMETERS angstrom
5.2649 0.0000 0.0000
0.0000 5.2649 0.0000
0.0000 0.0000 5.2649
ATOMIC_POSITIONS angstrom
Sc 0.0000 0.0000 2.6325
Sc 0.0000 2.6325 0.0000
Nb 2.6325 2.6325 2.6325
In 0.0000 0.0000 0.0000
Sc 2.6325 0.0000 0.0000
```